# 1
The following is a DFT calculation (GGA-PBE) of crystalline Mg2SbPtS at its relaxed geometry.

Unit cell a=5.0904 b=4.9154 c=5.0904 alpha=90.00 beta=90.00 gamma=90.00
Sites, in units of the cell vectors:
S 0.5000 0.5000 0.5000
Sb 0.0000 0.5000 0.0000
Pt 0.0000 0.0000 0.0000
Mg 0.0000 0.0000 0.5000
Mg 0.5000 0.0000 0.0000

Computed properties:
The uncorrected formation energy comes out at -0.16 eV/atom. The value obtained for the density of states at the Fermi level is 0.80 states/eV per atom. As for the spin magnetization: 0.00 μB/atom.



# 2
The following is a DFT calculation (GGA-PBE) of crystalline Ba6Pt2NCl3 at its relaxed geometry.

Unit cell a=7.7100 b=7.7100 c=8.2367 alpha=99.01 beta=99.01 gamma=120.03
Sites, in units of the cell vectors:
Cl 0.1648 0.8352 0.5000
Cl 0.5000 0.5000 0.5000
Cl 0.8352 0.1648 0.5000
Ba 0.0702 0.3722 0.2097
Ba 0.7681 0.7681 0.2074
Ba 0.2319 0.2319 0.7926
Ba 0.9298 0.6278 0.7903
Ba 0.3722 0.0702 0.2097
Ba 0.6278 0.9298 0.7903
Pt 0.6670 0.3330 0.0000
Pt 0.3330 0.6670 0.0000
N 0.0000 0.0000 0.0000

Computed properties:
The uncorrected formation energy comes out at -1.32 eV/atom. The value obtained for the density of states at the Fermi level is 0.50 states/eV per atom. As for the spin magnetization: 0.00 μB/atom.



# 3
The following is a DFT calculation (GGA-PBE) of crystalline Mg14GaCu at its relaxed geometry.

Unit cell a=6.2367 b=6.2367 c=10.1261 alpha=90.00 beta=90.00 gamma=120.00
Sites, in units of the cell vectors:
Mg 0.1629 0.8371 0.7557
Mg 0.1629 0.8371 0.2443
Mg 0.6667 0.3333 0.2511
Mg 0.6741 0.8371 0.7557
Mg 0.9975 0.4987 0.0000
Mg 0.1629 0.3259 0.2443
Mg 0.4999 0.9999 0.5000
Mg 0.5013 0.0025 0.0000
Mg 0.4999 0.5001 0.5000
Mg 0.0001 0.5001 0.5000
Mg 0.6667 0.3333 0.7489
Mg 0.5013 0.4987 0.0000
Mg 0.1629 0.3259 0.7557
Mg 0.6741 0.8371 0.2443
Cu 0.0000 0.0000 0.0000
Ga 0.0000 0.0000 0.5000

Computed properties:
As for the formation energy: 0 kJ per mole of atoms. The value obtained for the density of states at the Fermi level is 0.43 states/eV per atom. As for the spin magnetization: 0.00 μB/atom.